{"formula": "Co3Si", "functional": "PBE", "state": "optimized geometry", "cell": [[-1.788, 1.788, 3.343], [1.788, -1.788, 3.343], [1.788, 1.788, -3.343]], "species": ["Co", "Co", "Co", "Si"], "frac_coords": [[0.000, 0.000, 0.000], [0.250, 0.750, 0.500], [0.750, 0.250, 0.500], [0.500, 0.500, 0.000]], "dos_ef_per_ev_cell": 5.002, "m_tot_mub_per_atom": 0.72, "total_energy_ev_per_atom": -6.972, "rho_g_cm3": 7.96, "formation_energy_uncorrected_ev_per_atom": -0.29}

---

{"formula": "CoSi", "functional": "PBE", "state": "optimized geometry", "cell": [[-3.677, 3.677, 1.854], [3.677, -3.677, 1.854], [3.677, 3.677, -1.854]], "species": ["Co", "Co", "Co", "Co", "Si", "Si", "Si", "Si"], "frac_coords": [[0.152, 0.191, 0.343], [0.191, 0.848, 0.039], [0.809, 0.152, 0.961], [0.848, 0.809, 0.657], [0.242, 0.487, 0.729], [0.487, 0.758, 0.245], [0.513, 0.242, 0.755], [0.758, 0.513, 0.271]], "dos_ef_per_ev_cell": 6.282, "m_tot_mub_per_atom": 0.00, "total_energy_ev_per_atom": -6.498, "rho_g_cm3": 5.76, "formation_energy_uncorrected_ev_per_atom": -0.23}

---

{"formula": "CoSi2", "functional": "PBE", "state": "optimized geometry", "cell": [[6.265, 0.000, 0.000], [-3.132, 5.425, 0.000], [0.000, 0.000, 3.220]], "species": ["Co", "Co", "Co", "Si", "Si", "Si", "Si", "Si", "Si"], "frac_coords": [[0.000, 0.000, 0.000], [0.333, 0.667, 0.500], [0.667, 0.333, 0.500], [0.000, 0.270, 0.500], [0.000, 0.624, 0.000], [0.270, 0.000, 0.500], [0.376, 0.376, 0.000], [0.624, 0.000, 0.000], [0.730, 0.730, 0.500]], "dos_ef_per_ev_cell": 6.565, "m_tot_mub_per_atom": 0.00, "total_energy_ev_per_atom": -6.224, "rho_g_cm3": 5.24, "formation_energy_uncorrected_ev_per_atom": -0.24}

---

{"formula": "CoSi2", "functional": "PBE", "state": "optimized geometry", "cell": [[1.407, -5.920, 0.000], [1.407, 5.920, 0.000], [0.000, 0.000, 4.429]], "species": ["Co", "Co", "Si", "Si", "Si", "Si"], "frac_coords": [[0.207, 0.793, 0.750], [0.793, 0.207, 0.250], [0.137, 0.863, 0.250], [0.451, 0.549, 0.250], [0.549, 0.451, 0.750], [0.863, 0.137, 0.750]], "dos_ef_per_ev_cell": 2.011, "m_tot_mub_per_atom": 0.00, "total_energy_ev_per_atom": -6.156, "rho_g_cm3": 5.18, "formation_energy_uncorrected_ev_per_atom": -0.17}

---

{"formula": "Co3Si2", "functional": "PBE", "state": "optimized geometry", "cell": [[-2.925, 4.629, 2.171], [2.925, -4.629, 2.171], [2.925, 4.629, -2.171]], "species": ["Co", "Co", "Co", "Co", "Co", "Co", "Si", "Si", "Si", "Si"], "frac_coords": [[0.092, 0.646, 0.738], [0.250, 0.250, 0.000], [0.408, 0.146, 0.554], [0.592, 0.854, 0.446], [0.750, 0.750, 0.000], [0.908, 0.354, 0.262], [0.171, 0.261, 0.432], [0.329, 0.761, 0.090], [0.671, 0.239, 0.910], [0.829, 0.739, 0.568]], "dos_ef_per_ev_cell": 7.965, "m_tot_mub_per_atom": 0.35, "e_above_lowest_polymorph_ev_per_atom": 0.164, "total_energy_ev_per_atom": -6.692, "rho_g_cm3": 6.58, "formation_energy_uncorrected_ev_per_atom": -0.26}

---

{"formula": "CoSi", "functional": "PBE", "state": "optimized geometry", "cell": [[0.000, 2.544, 2.544], [2.544, 0.000, 2.544], [2.544, 2.544, 0.000]], "species": ["Co", "Si"], "frac_coords": [[0.000, 0.000, 0.000], [0.250, 0.250, 0.250]], "dos_ef_per_ev_cell": 0.779, "m_tot_mub_per_atom": 0.00, "total_energy_ev_per_atom": -5.902, "rho_g_cm3": 4.39, "formation_energy_uncorrected_ev_per_atom": 0.36}

---

{"formula": "CoSi5", "functional": "PBE", "state": "optimized geometry", "cell": [[2.719, 0.000, 0.000], [0.000, 2.719, 0.000], [0.000, 0.000, 10.746]], "species": ["Co", "Si", "Si", "Si", "Si", "Si"], "frac_coords": [[0.000, 0.000, 0.000], [0.000, 0.000, 0.320], [0.000, 0.000, 0.680], [0.500, 0.500, 0.137], [0.500, 0.500, 0.500], [0.500, 0.500, 0.863]], "dos_ef_per_ev_cell": 3.250, "m_tot_mub_per_atom": 0.00, "e_above_lowest_polymorph_ev_per_atom": 0.009, "total_energy_ev_per_atom": -5.502, "rho_g_cm3": 4.17, "formation_energy_uncorrected_ev_per_atom": 0.20}

---

{"formula": "CoSi", "functional": "PBE", "state": "optimized geometry", "cell": [[2.752, 0.000, 0.000], [-1.376, 2.383, 0.000], [0.000, 0.000, 3.457]], "species": ["Co", "Si"], "frac_coords": [[0.000, 0.000, 0.000], [0.667, 0.333, 0.500]], "dos_ef_per_ev_cell": 0.918, "m_tot_mub_per_atom": 0.00, "total_energy_ev_per_atom": -6.656, "rho_g_cm3": 6.37, "formation_energy_uncorrected_ev_per_atom": -0.39}

---

{"formula": "Co3Si", "functional": "PBE", "state": "optimized geometry", "cell": [[-1.363, 1.992, 3.997], [1.363, -1.992, 3.997], [1.363, 1.992, -3.997]], "species": ["Co", "Co", "Co", "Si"], "frac_coords": [[0.000, 0.000, 0.000], [0.267, 0.767, 0.500], [0.733, 0.233, 0.500], [0.500, 0.500, 0.000]], "dos_ef_per_ev_cell": 4.581, "m_tot_mub_per_atom": 0.88, "total_energy_ev_per_atom": -6.926, "rho_g_cm3": 7.84, "formation_energy_uncorrected_ev_per_atom": -0.24}

---

{"formula": "Co7Si6", "functional": "PBE", "state": "optimized geometry", "cell": [[2.417, 1.396, 7.562], [-2.417, 1.396, 7.562], [0.000, -2.791, 7.562]], "species": ["Co", "Co", "Co", "Co", "Co", "Co", "Co", "Si", "Si", "Si", "Si", "Si", "Si"], "frac_coords": [[0.000, 0.000, 0.000], [0.082, 0.082, 0.579], [0.082, 0.579, 0.082], [0.421, 0.918, 0.918], [0.579, 0.082, 0.082], [0.918, 0.421, 0.918], [0.918, 0.918, 0.421], [0.166, 0.166, 0.166], [0.335, 0.335, 0.335], [0.445, 0.445, 0.445], [0.555, 0.555, 0.555], [0.665, 0.665, 0.665], [0.834, 0.834, 0.834]], "dos_ef_per_ev_cell": 8.023, "m_tot_mub_per_atom": 0.17, "total_energy_ev_per_atom": -6.496, "rho_g_cm3": 6.30, "formation_energy_uncorrected_ev_per_atom": -0.17}

---

{"formula": "Co3Si", "functional": "PBE", "state": "optimized geometry", "cell": [[2.551, 0.000, 0.000], [0.000, 3.591, 0.000], [-0.853, 0.000, 4.763]], "species": ["Co", "Co", "Co", "Si"], "frac_coords": [[0.000, 0.000, 0.000], [0.413, 0.500, 0.744], [0.587, 0.500, 0.256], [0.000, 0.000, 0.500]], "dos_ef_per_ev_cell": 4.736, "m_tot_mub_per_atom": 0.79, "total_energy_ev_per_atom": -6.867, "rho_g_cm3": 7.80, "formation_energy_uncorrected_ev_per_atom": -0.18}

---

{"formula": "CoSi2", "functional": "PBE", "state": "optimized geometry", "cell": [[0.000, 2.679, 2.679], [2.679, 0.000, 2.679], [2.679, 2.679, 0.000]], "species": ["Co", "Si", "Si"], "frac_coords": [[0.000, 0.000, 0.000], [0.250, 0.250, 0.250], [0.750, 0.750, 0.750]], "dos_ef_per_ev_cell": 0.952, "m_tot_mub_per_atom": 0.00, "total_energy_ev_per_atom": -6.457, "rho_g_cm3": 4.97, "formation_energy_uncorrected_ev_per_atom": -0.47}

---

Which formula does entry 8 have?
CoSi